(1)
A plane-wave DFT calculation with GGA-PBE was carried out for PrDyEr2Tm5 after structural relaxation.

```
data_PrDyEr2Tm5
_chemical_formula_sum 'Pr4 Dy4 Er8 Tm20'
_cell_length_a 5.554
_cell_length_b 19.648
_cell_length_c 10.465
_cell_angle_alpha 90.00
_cell_angle_beta 90.00
_cell_angle_gamma 90.00
_space_group_name_H-M_alt 'C m c 21'
_space_group_IT_number 36
loop_
_space_group_symop_operation_xyz
'x,y,z'
'-x,-y,z+1/2'
'-x,y,z'
'x,-y,z+1/2'
'x+1/2,y+1/2,z'
'-x+1/2,-y+1/2,z+1/2'
'-x+1/2,y+1/2,z'
'x+1/2,-y+1/2,z+1/2'
loop_
_atom_site_label
_atom_site_fract_x
_atom_site_fract_y
_atom_site_fract_z
Pr1 0.000 0.083 0.000
Dy1 0.000 0.300 0.562
Er1 0.000 0.387 0.869
Er2 0.000 0.389 0.284
Tm1 0.000 0.022 0.285
Tm2 0.000 0.112 0.572
Tm3 0.000 0.201 0.261
Tm4 0.000 0.219 0.862
Tm5 0.000 0.482 0.575
```

Results
**Mass density**: 8.623 g cm⁻³
**Energy relative to the elements**: 0.168 eV per atom

=====

(2)
A plane-wave DFT calculation with GGA-PBE was carried out for BaZnCl after structural relaxation.

```
data_BaZnCl
_chemical_formula_sum 'Ba4 Zn4 Cl4'
_cell_length_a 7.649
_cell_length_b 7.649
_cell_length_c 7.649
_cell_angle_alpha 90.00
_cell_angle_beta 90.00
_cell_angle_gamma 90.00
_space_group_name_H-M_alt 'F -4 3 m'
_space_group_IT_number 216
_space_group_name_Hall 'F -4 2 3'
loop_
_atom_site_label
_atom_site_fract_x
_atom_site_fract_y
_atom_site_fract_z
Ba1 0.000 0.000 0.000
Zn1 0.250 0.250 0.750
Cl1 0.250 0.250 0.250
```

Results
**Mass density**: 3.535 g cm⁻³

=====

(3)
A plane-wave DFT calculation with GGA-PBE was carried out for Mo2RuBr after structural relaxation.

```
data_Mo2RuBr
_chemical_formula_sum 'Mo6 Ru3 Br3'
_cell_length_a 2.9349
_cell_length_b 2.9349
_cell_length_c 25.9445
_cell_angle_alpha 90.00
_cell_angle_beta 90.00
_cell_angle_gamma 120.00
_space_group_name_H-M_alt 'R -3 m'
_space_group_IT_number 166
_space_group_name_Hall '-R 3 2"'
loop_
_atom_site_label
_atom_site_fract_x
_atom_site_fract_y
_atom_site_fract_z
Mo1 0.0000 0.0000 0.2480
Ru1 0.0000 0.0000 0.5000
Br1 0.0000 0.0000 0.0000
```

Results
**Mass density**: 9.597 g cm⁻³

=====

(4)
A plane-wave DFT calculation with GGA-PBE was carried out for Cs2VZnBr6 after structural relaxation.

```
data_Cs2VZnBr6
_chemical_formula_sum 'Cs8 V4 Zn4 Br24'
_cell_length_a 10.752
_cell_length_b 10.752
_cell_length_c 10.752
_cell_angle_alpha 90.00
_cell_angle_beta 90.00
_cell_angle_gamma 90.00
_space_group_name_H-M_alt 'F m -3 m'
_space_group_IT_number 225
_space_group_name_Hall '-F 4 2 3'
loop_
_atom_site_label
_atom_site_fract_x
_atom_site_fract_y
_atom_site_fract_z
Cs1 0.250 0.250 0.250
V1 0.000 0.000 0.000
Zn1 0.000 0.000 0.500
Br1 0.000 0.000 0.249
```

Results
**Mass density**: 4.605 g cm⁻³

=====

(5)
A plane-wave DFT calculation with GGA-PBE was carried out for Ce6InGa2 after structural relaxation.

```
data_Ce6InGa2
_chemical_formula_sum 'Ce6 In1 Ga2'
_cell_length_a 8.9917
_cell_length_b 8.9917
_cell_length_c 2.9884
_cell_angle_alpha 90.00
_cell_angle_beta 90.00
_cell_angle_gamma 120.00
_space_group_name_H-M_alt 'P 6/m m m'
_space_group_IT_number 191
_space_group_name_Hall '-P 6 2'
loop_
_atom_site_label
_atom_site_fract_x
_atom_site_fract_y
_atom_site_fract_z
Ce1 0.0000 0.3464 0.0000
In1 0.0000 0.0000 0.5000
Ga1 0.3333 0.6667 0.5000
```

Results
**Mass density**: 8.689 g cm⁻³
**Energy relative to the elements**: -0.262 eV per atom

=====

(6)
A plane-wave DFT calculation with GGA-PBE was carried out for LaDyHoSc after structural relaxation.

```
data_LaDyHoSc
_chemical_formula_sum 'La4 Dy4 Ho4 Sc4'
_cell_length_a 7.930
_cell_length_b 7.930
_cell_length_c 7.930
_cell_angle_alpha 90.00
_cell_angle_beta 90.00
_cell_angle_gamma 90.00
_space_group_name_H-M_alt 'F -4 3 m'
_space_group_IT_number 216
_space_group_name_Hall 'F -4 2 3'
loop_
_atom_site_label
_atom_site_fract_x
_atom_site_fract_y
_atom_site_fract_z
La1 0.000 0.000 0.000
Dy1 0.000 0.000 0.500
Ho1 0.250 0.250 0.250
Sc1 0.250 0.250 0.750
```

Results
**Mass density**: 6.810 g cm⁻³
**Energy relative to the elements**: 0.103 eV per atom

=====

(7)
A plane-wave DFT calculation with GGA-PBE was carried out for Ac6La2Ag after structural relaxation.

```
data_Ac6La2Ag
_chemical_formula_sum 'Ac6 La2 Ag1'
_cell_length_a 10.2102
_cell_length_b 10.2102
_cell_length_c 4.0554
_cell_angle_alpha 90.00
_cell_angle_beta 90.00
_cell_angle_gamma 120.00
_space_group_name_H-M_alt 'P -6 2 m'
_space_group_IT_number 189
_space_group_name_Hall 'P -6 -2'
loop_
_atom_site_label
_atom_site_fract_x
_atom_site_fract_y
_atom_site_fract_z
Ac1 0.0000 0.3918 0.0000
Ac2 0.0000 0.7457 0.5000
La1 0.3333 0.6667 0.5000
Ag1 0.0000 0.0000 0.0000
```

Results
**Mass density**: 7.926 g cm⁻³
**Energy relative to the elements**: -0.039 eV per atom

=====

(8)
A plane-wave DFT calculation with GGA-PBE was carried out for ZrMn2CrBr after structural relaxation.

```
data_ZrMn2CrBr
_chemical_formula_sum 'Zr1 Mn2 Cr1 Br1'
_cell_length_a 5.000
_cell_length_b 5.000
_cell_length_c 5.154
_cell_angle_alpha 90.00
_cell_angle_beta 90.00
_cell_angle_gamma 90.00
_space_group_name_H-M_alt 'P 4/m m m'
_space_group_IT_number 123
_space_group_name_Hall '-P 4 2'
loop_
_atom_site_label
_atom_site_fract_x
_atom_site_fract_y
_atom_site_fract_z
Zr1 0.000 0.000 0.000
Mn1 0.000 0.500 0.000
Cr1 0.500 0.500 0.500
Br1 0.000 0.000 0.500
```

Results
**Mass density**: 4.291 g cm⁻³

=====

(9)
A plane-wave DFT calculation with GGA-PBE was carried out for KAlB2 after structural relaxation.

```
data_KAlB2
_chemical_formula_sum 'K4 Al4 B8'
_cell_length_a 6.218
_cell_length_b 6.218
_cell_length_c 6.218
_cell_angle_alpha 90.00
_cell_angle_beta 90.00
_cell_angle_gamma 90.00
_space_group_name_H-M_alt 'F m -3 m'
_space_group_IT_number 225
_space_group_name_Hall '-F 4 2 3'
loop_
_atom_site_label
_atom_site_fract_x
_atom_site_fract_y
_atom_site_fract_z
K1 0.000 0.000 0.000
Al1 0.000 0.000 0.500
B1 0.250 0.250 0.250
```

Results
**Mass density**: 2.423 g cm⁻³
**Energy relative to the elements**: 1.565 eV per atom

=====

(10)
A plane-wave DFT calculation with GGA-PBE was carried out for ScMn2TlGe after structural relaxation.

```
data_ScMn2TlGe
_chemical_formula_sum 'Sc1 Mn2 Tl1 Ge1'
_cell_length_a 4.738
_cell_length_b 4.738
_cell_length_c 5.483
_cell_angle_alpha 90.00
_cell_angle_beta 90.00
_cell_angle_gamma 90.00
_space_group_name_H-M_alt 'P 4/m m m'
_space_group_IT_number 123
_space_group_name_Hall '-P 4 2'
loop_
_atom_site_label
_atom_site_fract_x
_atom_site_fract_y
_atom_site_fract_z
Sc1 0.000 0.000 0.000
Mn1 0.000 0.500 0.000
Tl1 0.000 0.000 0.500
Ge1 0.500 0.500 0.500
```

Results
**Mass density**: 5.825 g cm⁻³
**Energy relative to the elements**: 1.194 eV per atom

=====

(11)
A plane-wave DFT calculation with GGA-PBE was carried out for LiAg2F4 after structural relaxation.

```
data_LiAg2F4
_chemical_formula_sum 'Li4 Ag8 F16'
_cell_length_a 5.704
_cell_length_b 5.955
_cell_length_c 11.264
_cell_angle_alpha 90.00
_cell_angle_beta 90.00
_cell_angle_gamma 90.00
_space_group_name_H-M_alt 'P b c a'
_space_group_IT_number 61
loop_
_space_group_symop_operation_xyz
'x,y,z'
'-x,-y,-z'
'-x+1/2,-y,z+1/2'
'x+1/2,y,-z+1/2'
'x+1/2,-y+1/2,-z'
'-x+1/2,y+1/2,z'
'-x,y+1/2,-z+1/2'
'x,-y+1/2,z+1/2'
loop_
_atom_site_label
_atom_site_fract_x
_atom_site_fract_y
_atom_site_fract_z
Li1 0.000 0.000 0.000
Ag1 0.003 0.072 0.359
F1 0.150 0.583 0.659
F2 0.187 0.739 0.928
```

Results
**Mass density**: 5.185 g cm⁻³

=====

(12)
A plane-wave DFT calculation with GGA-PBE was carried out for TbPuNiRh after structural relaxation.

```
data_TbPuNiRh
_chemical_formula_sum 'Tb4 Pu4 Ni4 Rh4'
_cell_length_a 6.829
_cell_length_b 6.829
_cell_length_c 6.829
_cell_angle_alpha 90.00
_cell_angle_beta 90.00
_cell_angle_gamma 90.00
_space_group_name_H-M_alt 'F -4 3 m'
_space_group_IT_number 216
_space_group_name_Hall 'F -4 2 3'
loop_
_atom_site_label
_atom_site_fract_x
_atom_site_fract_y
_atom_site_fract_z
Tb1 0.000 0.000 0.000
Pu1 0.000 0.000 0.500
Ni1 0.250 0.250 0.750
Rh1 0.250 0.250 0.250
```

Results
**Mass density**: 11.773 g cm⁻³
**Energy relative to the elements**: -0.386 eV per atom

=====

| no. | E (eV/f.u.) | magnetic moment (μB/atom) |
| --- | --- | --- |
| 1 | -39.35 | 0.000 |
| 2 | -7.45 | 0.252 |
| 3 | -30.64 | 0.000 |
| 4 | -33.59 | 0.300 |
| 5 | -46.75 | 0.235 |
| 6 | -20.03 | 0.000 |
| 7 | -37.71 | 0.000 |
| 8 | -32.26 | 0.285 |
| 9 | -11.93 | 0.000 |
| 10 | -25.69 | 1.288 |
| 11 | -26.26 | 0.000 |
| 12 | -33.64 | 1.345 |